First-principles (meta-GGA SCAN) data for a PBEsol-optimized structure of La2TePt, as listed in Alexandria. Values from VASP.

Properties
Energy, hartree per atom: -1.8370
Space-group type: R-3m (166)
Magnetization, μB per formula unit: 0.00
N(E_F), states/eV per cell: 1.908
Volume, Å³/cell: 119
ΔE_f (raw), kJ/mol of formula units: -607

The structure in Quantum ESPRESSO input format:
```
&SYSTEM
  ibrav = 0, nat = 4, ntyp = 3
/
ATOMIC_SPECIES
La 138.91 La.upf
Te 127.60 Te.upf
Pt 195.08 Pt.upf
CELL_PARAMETERS angstrom
-0.029 1.163 4.072
3.438 -0.603 2.399
3.722 7.121 0.195
ATOMIC_POSITIONS angstrom
La 1.873 2.163 1.598
Te 0.000 0.000 0.000
La 5.258 5.518 5.069
Pt 3.565 3.840 3.333
```